DFT (GGA-PBEsol) results for crystalline Zr2Be2Ag at its relaxed geometry.

a b c (Å): 6.3465 6.3465 3.8454
angles (deg): 90.00 90.00 90.00
Atoms (fractional coordinates):
Zr (0.1710, 0.3290, 0.0000)
Zr (0.3290, 0.8290, 0.0000)
Zr (0.6710, 0.1710, 0.0000)
Zr (0.8290, 0.6710, 0.0000)
Be (0.1234, 0.6234, 0.5000)
Be (0.3766, 0.1234, 0.5000)
Be (0.6234, 0.8766, 0.5000)
Be (0.8766, 0.3766, 0.5000)
Ag (0.0000, 0.0000, 0.5000)
Ag (0.5000, 0.5000, 0.5000)

## Properties
For the mass density, the calculation gives 6.61 g cm⁻³. Its space group is No. 127. For the total energy, the calculation gives -6.061 eV per atom. The calculated formation energy is -163.3 meV per atom.